[1]
First-principles (GGA-PBE) data for Nd3Mg2Tl after structural relaxation, as listed in Alexandria.

Calculated values
N(E_F) (states/eV per atom): 1.424
Crystal system: tetragonal
Calculated volume (A^3/atom): 29.58
Polymorph energy (0 for the lowest one) (meV per atom): 14.7
Formation energy (eV per atom): -0.194

Cell: 3.8899 3.8899 11.7301 Å, 90.00 90.00 90.00°
Last column: nearest neighbours and their distance in Å.
Sites, in units of the cell vectors:
Nd: 0.0000 0.0000 0.0000  8 Mg 3.34
Nd: 0.0000 0.0000 0.3307  4 Mg 3.39, 4 Tl 3.39
Nd: 0.0000 0.0000 0.6693  4 Mg 3.39, 4 Tl 3.39
Mg: 0.5000 0.5000 0.1621  8 Nd 3.34-3.39
Mg: 0.5000 0.5000 0.8379  8 Nd 3.34-3.39
Tl: 0.5000 0.5000 0.5000  8 Nd 3.39

---

[2]
First-principles (GGA-PBE) data for Nd2Mg3Tl after structural relaxation, as listed in Alexandria.

Calculated values
N(E_F) (states/eV per atom): 0.825
Crystal system: orthorhombic
Calculated volume (A^3/atom): 27.32
Formation energy (eV per atom): -0.187

Cell: 10.3802 9.6428 6.2745 Å, 78.27 65.44 36.29°
Last column: nearest neighbours and their distance in Å.
Sites, in units of the cell vectors:
Nd: 0.2476 0.7524 0.7524  10 Mg 3.46-3.48, 2 Tl 3.47, 2 Nd 3.47-3.54
Nd: 0.2500 0.2500 0.2500  8 Mg 3.47-3.48, 4 Tl 3.48, 2 Nd 3.51
Nd: 0.7500 0.7500 0.7500  8 Mg 3.47-3.48, 4 Tl 3.48, 2 Nd 3.51
Nd: 0.7524 0.2476 0.2476  10 Mg 3.46-3.48, 2 Tl 3.47, 2 Nd 3.47-3.54
Mg: 0.1667 0.1667 0.8333  1 Tl 3.00, 2 Mg 3.03
Mg: 0.1694 0.6646 0.3354  1 Tl 2.98, 2 Mg 2.98-3.03
Mg: 0.3354 0.8306 0.1694  1 Tl 2.98, 2 Mg 2.98-3.03
Mg: 0.6646 0.1694 0.8306  1 Tl 2.98, 2 Mg 2.98-3.03
Mg: 0.8306 0.3354 0.6646  1 Tl 2.98, 2 Mg 2.98-3.03
Mg: 0.8333 0.8333 0.1667  1 Tl 3.00, 2 Mg 3.03
Tl: 0.3338 0.3338 0.6662  3 Mg 2.98-3.00
Tl: 0.6662 0.6662 0.3338  3 Mg 2.98-3.00

---

[3]
First-principles (GGA-PBE) data for Nd7MgTl2 after structural relaxation, as listed in Alexandria.

Calculated values
N(E_F) (states/eV per atom): 1.690
Crystal system: trigonal
Calculated volume (A^3/atom): 34.16
Formation energy (eV per atom): -0.003

Cell: 5.4476 5.4476 13.2904 Å, 90.00 90.00 120.00°
Last column: nearest neighbours and their distance in Å.
Sites, in units of the cell vectors:
Nd: 0.0000 0.0000 0.0000  4 Tl 3.14-3.46, 1 Nd 3.50
Nd: 0.0000 0.0000 0.2635  8 Nd 3.50-3.57, 3 Mg 3.69, 3 Tl 3.76
Nd: 0.0000 0.0000 0.5273  1 Tl 3.14, 1 Nd 3.51, 3 Mg 3.51
Nd: 0.3333 0.6667 0.1440  3 Tl 3.18, 3 Nd 3.52, 1 Mg 3.53
Nd: 0.3333 0.6667 0.6795  3 Tl 3.34, 1 Mg 3.59
Nd: 0.6667 0.3333 0.3900  3 Mg 3.16
Nd: 0.6667 0.3333 0.8519  4 Tl 3.36-3.41, 3 Nd 3.71
Mg: 0.3333 0.6667 0.4094  7 Nd 3.16-3.53
Tl: 0.0000 0.0000 0.7636  8 Nd 3.14-3.36
Tl: 0.6667 0.3333 0.1088  7 Nd 3.18-3.46

---

Question: Which value of N(E_F) does entry 1 give?
Answer: 1.424 states/eV per atom

---

Please write out number 2 again, unchanged.
First-principles (GGA-PBE) data for Nd2Mg3Tl after structural relaxation, as listed in Alexandria.

Calculated values
N(E_F) (states/eV per atom): 0.825
Crystal system: orthorhombic
Calculated volume (A^3/atom): 27.32
Formation energy (eV per atom): -0.187

Cell: 10.3802 9.6428 6.2745 Å, 78.27 65.44 36.29°
Last column: nearest neighbours and their distance in Å.
Sites, in units of the cell vectors:
Nd: 0.2476 0.7524 0.7524  10 Mg 3.46-3.48, 2 Tl 3.47, 2 Nd 3.47-3.54
Nd: 0.2500 0.2500 0.2500  8 Mg 3.47-3.48, 4 Tl 3.48, 2 Nd 3.51
Nd: 0.7500 0.7500 0.7500  8 Mg 3.47-3.48, 4 Tl 3.48, 2 Nd 3.51
Nd: 0.7524 0.2476 0.2476  10 Mg 3.46-3.48, 2 Tl 3.47, 2 Nd 3.47-3.54
Mg: 0.1667 0.1667 0.8333  1 Tl 3.00, 2 Mg 3.03
Mg: 0.1694 0.6646 0.3354  1 Tl 2.98, 2 Mg 2.98-3.03
Mg: 0.3354 0.8306 0.1694  1 Tl 2.98, 2 Mg 2.98-3.03
Mg: 0.6646 0.1694 0.8306  1 Tl 2.98, 2 Mg 2.98-3.03
Mg: 0.8306 0.3354 0.6646  1 Tl 2.98, 2 Mg 2.98-3.03
Mg: 0.8333 0.8333 0.1667  1 Tl 3.00, 2 Mg 3.03
Tl: 0.3338 0.3338 0.6662  3 Mg 2.98-3.00
Tl: 0.6662 0.6662 0.3338  3 Mg 2.98-3.00

---

Question: What is the N(E_F) in the second record?
Answer: 0.825 states/eV per atom